(1)
Below is a relaxed structure of NbCrGe2, with properties calculated at the PBE level.

```
NbCrGe2
1.0
3.7375 -1.7479 1.5697
0.2343 -1.2877 4.2161
0.1818 -4.2987 0.9882
Nb Ge Cr
1 2 1
direct
0.5000 0.5000 0.5000 Nb
0.7500 0.7500 0.7500 Ge
0.2500 0.2500 0.2500 Ge
0.0000 0.0000 0.0000 Cr
```

E above lowest polymorph = 0.27 eV/f.u.
ΔE_f = 52 kJ/mol of formula units
spin magnetization = 0.0 μB/f.u.



(2)
Below is a relaxed structure of NaGa2AgTe4, with properties calculated at the PBE level.

```
NaGa2AgTe4
1.0
6.7941 0.0000 0.0000
3.3971 6.2095 -0.4274
3.3971 0.0829 6.2237
Te Na Ga Ag
4 1 2 1
direct
0.9280 0.4667 0.1094 Te
0.4960 0.1094 0.4667 Te
0.0720 0.8906 0.5333 Te
0.5040 0.5333 0.8906 Te
0.0000 0.0000 0.0000 Na
0.1886 0.3114 0.3114 Ga
0.8114 0.6886 0.6886 Ga
0.5000 0.5000 0.5000 Ag
```

formation energy (no corrections) = -167.3 meV per atom
spin magnetization = 0.0 μB/f.u.



(3)
Below is a relaxed structure of CeErCuHg, with properties calculated at the PBE level.

```
CeErCuHg
1.0
5.1610 0.0000 0.0000
2.5805 4.4696 0.0000
2.5805 1.4899 4.2140
Ce Hg Cu Er
1 1 1 1
direct
0.5000 0.5000 0.5000 Ce
0.2500 0.2500 0.2500 Hg
0.7500 0.7500 0.7500 Cu
0.0000 0.0000 0.0000 Er
```

ΔE_f = -80 kJ/mol of formula units
spin magnetization = 0.8 μB/f.u.



(4)
Below is a relaxed structure of PrMgAlPd2, with properties calculated at the PBE level.

```
PrMgAlPd2
1.0
-1.1975 -2.6743 3.0107
-1.0326 -2.8321 -2.9263
6.5135 0.5699 0.1658
Mg Pd Al Pr
1 2 1 1
direct
0.2500 0.7500 0.5000 Mg
0.6170 0.6170 0.2339 Pd
0.3830 0.3830 0.7661 Pd
0.7500 0.2500 0.5000 Al
0.0000 0.0000 0.0000 Pr
```

ΔE_f = -344 kJ/mol of formula units
spin magnetization = 0.0 μB/f.u.



(5)
Below is a relaxed structure of SmDyAl2Si, with properties calculated at the PBE level.

```
SmDyAl2Si
1.0
4.3137 0.0000 0.0000
0.0000 4.3729 0.0000
-2.1568 -2.1865 6.0831
Al Si Sm Dy
2 1 1 1
direct
0.6899 0.1899 0.3797 Al
0.0433 0.0433 0.0865 Al
0.8429 0.8429 0.6858 Si
0.4392 0.4392 0.8784 Sm
0.1969 0.6969 0.3939 Dy
```

formation energy (no corrections) = -432.1 meV per atom
spin magnetization = 0.0 μB/f.u.



(6)
Below is a relaxed structure of Pm3Al8Ag3, with properties calculated at the PBE level.

```
Pm3Al8Ag3
1.0
4.2950 0.0000 1.1696
1.5572 7.8424 2.7525
0.0040 0.0266 8.4559
Ag Al Pm
3 8 3
direct
0.0000 0.2028 0.7972 Ag
0.5000 0.0000 0.0000 Ag
0.0000 0.7972 0.2028 Ag
0.6352 0.0819 0.6476 Al
0.6352 0.6476 0.0819 Al
0.1607 0.2049 0.4737 Al
0.3648 0.3524 0.9181 Al
0.1607 0.4737 0.2049 Al
0.8393 0.5263 0.7951 Al
0.8393 0.7951 0.5263 Al
0.3648 0.9181 0.3524 Al
0.5000 0.5000 0.5000 Pm
0.2004 0.7996 0.7996 Pm
0.7996 0.2004 0.2004 Pm
```

ΔE_f = -540 kJ/mol of formula units
spin magnetization = 0.0 μB/f.u.



(7)
Below is a relaxed structure of Mg3BiN, with properties calculated at the PBE level.

```
Mg3BiN
1.0
-2.0923 6.3495 -20.6364
0.2471 -0.6865 -8.6304
-2.4851 -1.7209 8.1166
Mg N Bi
6 2 2
direct
0.5177 0.2933 0.7067 Mg
0.8225 0.2541 0.7459 Mg
0.4823 0.7067 0.2933 Mg
0.1072 0.1882 0.8118 Mg
0.1775 0.7459 0.2541 Mg
0.8928 0.8118 0.1882 Mg
0.6709 0.9956 0.0044 N
0.3291 0.0044 0.9956 N
0.7796 0.1213 0.8787 Bi
0.2204 0.8787 0.1213 Bi
```

formation energy (no corrections) = -223.7 meV per atom
spin magnetization = 0.0 μB/f.u.



(8)
Below is a relaxed structure of MnZnW2, with properties calculated at the PBE level.

```
MnZnW2
1.0
-1.0455 2.1527 -4.4441
-3.9839 -1.8401 -2.4940
1.5125 2.1675 4.3002
Mn W Zn
1 2 1
direct
0.2415 0.7415 0.5000 Mn
0.7589 0.2589 0.5000 W
0.0131 0.0131 0.0000 W
0.4865 0.4865 0.0000 Zn
```

ΔE_f = 108 kJ/mol of formula units
spin magnetization = 0.0 μB/f.u.



(9)
Below is a relaxed structure of Sr2LiRuO5, with properties calculated at the PBE level.

```
Sr2LiRuO5
1.0
-2.6454 -1.6409 1.1990
-0.8890 -0.4052 -7.1564
5.2888 -8.6485 -0.1673
Sr O Ru Li
4 10 2 2
direct
0.8906 0.7812 0.1959 Sr
0.1263 0.2526 0.3050 Sr
0.8737 0.7474 0.8050 Sr
0.1094 0.2188 0.6959 Sr
0.3434 0.6868 0.0051 O
0.7148 0.4295 0.1397 O
0.5002 0.0004 0.7823 O
0.9251 0.8502 0.5366 O
0.0749 0.1498 0.0366 O
0.4998 0.9996 0.2823 O
0.2852 0.5705 0.6397 O
0.6978 0.3955 0.8906 O
0.3022 0.6045 0.3906 O
0.6566 0.3132 0.5051 O
0.2073 0.4146 0.0146 Ru
0.7927 0.5854 0.5146 Ru
0.4484 0.8968 0.4542 Li
0.5516 0.1032 0.9542 Li
```

formation energy (no corrections) = -1924.4 meV per atom
spin magnetization = 1.0 μB/f.u.



(10)
Below is a relaxed structure of Th2Tc2Ge2C, with properties calculated at the PBE level.

```
Th2Tc2Ge2C
1.0
-4.0516 -0.2398 -1.3927
-0.5446 -4.2557 -4.2931
-2.8018 -4.8137 2.3695
Tc Th C Ge
2 2 1 2
direct
0.2032 0.6969 0.8968 Tc
0.7968 0.3031 0.1032 Tc
0.4415 0.8267 0.2904 Th
0.5585 0.1733 0.7096 Th
0.0000 0.0000 0.0000 C
0.1588 0.3854 0.2969 Ge
0.8412 0.6146 0.7031 Ge
```

ΔE_f = -390 kJ/mol of formula units
spin magnetization = 0.0 μB/f.u.



(11)
Below is a relaxed structure of TbCo2Ni4, with properties calculated at the PBE level.

```
TbCo2Ni4
1.0
-0.1575 -2.9173 3.7398
4.2314 -2.1724 1.5029
0.7142 1.9210 4.5480
Co Ni Tb
2 4 1
direct
0.7500 0.5001 0.5001 Co
0.2500 0.4999 0.4999 Co
0.3054 0.9999 0.3892 Ni
0.6946 0.6108 0.0001 Ni
0.6947 0.0001 0.6108 Ni
0.3054 0.3892 0.9999 Ni
0.0000 0.0000 0.0000 Tb
```

ΔE_f = -110 kJ/mol of formula units
spin magnetization = 4.5 μB/f.u.



(12)
Below is a relaxed structure of Pr8DyMg2, with properties calculated at the PBE level.

```
Pr8DyMg2
1.0
5.7315 1.3604 0.0000
2.1770 8.8109 0.0000
1.0885 4.4054 8.0067
Pr Mg Dy
8 2 1
direct
0.7056 0.5912 0.0000 Pr
0.2944 0.4088 0.0000 Pr
0.8621 0.0966 0.2270 Pr
0.1379 0.9034 0.7730 Pr
0.5000 0.7896 0.4207 Pr
0.5000 0.2104 0.5793 Pr
0.8621 0.3236 0.7730 Pr
0.1379 0.6764 0.2270 Pr
0.0000 0.3065 0.3870 Mg
0.0000 0.6935 0.6130 Mg
0.5000 0.0000 0.0000 Dy
```

E above lowest polymorph = 1.09 eV/f.u.
ΔE_f = 110 kJ/mol of formula units
spin magnetization = 0.0 μB/f.u.



What electronic total energy values result from the calculations? In sequence: -28.394, -24.129, -15.724, -24.070, -24.390, -58.346, -36.217, -35.227, -113.327, -58.077, -43.105, -44.883 eV for the cell shown.